Entry 1:
# ScO

ScO after structural relaxation (PBE, the Alexandria database).

Results
ΔE_f (raw) in eV per atom: -2.6834
Size of the total moment in μB/atom: 0.15

The structure in CIF format:
```
data_ScO
_chemical_formula_sum 'Sc4 O4'
_symmetry_space_group_name_H-M 'P 42/m n m'
_symmetry_Int_Tables_number 136
_symmetry_space_group_name_Hall '-P 4n 2n'
_cell_length_a 5.983
_cell_length_b 5.983
_cell_length_c 3.380
_cell_angle_alpha 90.00
_cell_angle_beta 90.00
_cell_angle_gamma 90.00
loop_
_atom_site_label
_atom_site_type_symbol
_atom_site_fract_x
_atom_site_fract_y
_atom_site_fract_z
Sc1 Sc 0.195 0.195 0.000
O1 O 0.159 0.841 0.000
```

---

Entry 2:
# Sc5O6

Sc5O6 after structural relaxation (PBE, the Alexandria database).

Results
ΔE_f (raw) in eV per atom: -3.1675
Size of the total moment in μB/atom: 0.00

The structure in CIF format:
```
data_Sc5O6
_chemical_formula_sum 'Sc10 O12'
_symmetry_space_group_name_H-M 'C 1 2/m 1'
_symmetry_Int_Tables_number 12
_symmetry_space_group_name_Hall '-C 2y'
_cell_length_a 5.436
_cell_length_b 9.402
_cell_length_c 5.399
_cell_angle_alpha 90.00
_cell_angle_beta 109.34
_cell_angle_gamma 90.00
loop_
_atom_site_label
_atom_site_type_symbol
_atom_site_fract_x
_atom_site_fract_y
_atom_site_fract_z
Sc1 Sc 0.000 0.000 0.000
Sc2 Sc 0.000 0.166 0.500
Sc3 Sc 0.000 0.341 0.000
O1 O 0.239 0.174 0.239
O2 O 0.240 0.000 0.751
```

---

Entry 3:
# ScO

ScO after structural relaxation (PBE, the Alexandria database).

Results
ΔE_f (raw) in eV per atom: -2.7089
Size of the total moment in μB/atom: 0.00

The structure in CIF format:
```
data_ScO
_chemical_formula_sum 'Sc6 O6'
_symmetry_space_group_name_H-M 'P m -3 n'
_symmetry_Int_Tables_number 223
_symmetry_space_group_name_Hall '-P 4n 2 3'
_cell_length_a 5.916
_cell_length_b 5.916
_cell_length_c 5.916
_cell_angle_alpha 90.00
_cell_angle_beta 90.00
_cell_angle_gamma 90.00
loop_
_atom_site_label
_atom_site_type_symbol
_atom_site_fract_x
_atom_site_fract_y
_atom_site_fract_z
Sc1 Sc 0.000 0.250 0.500
O1 O 0.000 0.500 0.250
```

---

Entry 4:
# Sc5O7

Sc5O7 after structural relaxation (PBE, the Alexandria database).

Results
ΔE_f (raw) in eV per atom: -3.3895
Size of the total moment in μB/atom: 0.00

The structure in CIF format:
```
data_Sc5O7
_chemical_formula_sum 'Sc10 O14'
_symmetry_space_group_name_H-M 'C 1 2/m 1'
_symmetry_Int_Tables_number 12
_symmetry_space_group_name_Hall '-C 2y'
_cell_length_a 10.187
_cell_length_b 3.021
_cell_length_c 9.054
_cell_angle_alpha 90.00
_cell_angle_beta 105.41
_cell_angle_gamma 90.00
loop_
_atom_site_label
_atom_site_type_symbol
_atom_site_fract_x
_atom_site_fract_y
_atom_site_fract_z
Sc1 Sc 0.000 0.000 0.000
Sc2 Sc 0.109 0.000 0.417
Sc3 Sc 0.198 0.500 0.811
O1 O 0.000 0.500 0.500
O2 O 0.045 0.000 0.787
O3 O 0.157 0.500 0.053
O4 O 0.239 0.500 0.358
```

---

Entry 5:
# Sc20O19

Sc20O19 after structural relaxation (PBE, the Alexandria database).

Results
ΔE_f (raw) in eV per atom: -2.8232
Size of the total moment in μB/atom: 0.00

The structure in CIF format:
```
data_Sc20O19
_chemical_formula_sum 'Sc40 O38'
_symmetry_space_group_name_H-M 'I 4/m'
_symmetry_Int_Tables_number 87
_symmetry_space_group_name_Hall '-I 4'
_cell_length_a 10.025
_cell_length_b 10.025
_cell_length_c 8.966
_cell_angle_alpha 90.00
_cell_angle_beta 90.00
_cell_angle_gamma 90.00
loop_
_atom_site_label
_atom_site_type_symbol
_atom_site_fract_x
_atom_site_fract_y
_atom_site_fract_z
Sc1 Sc 0.000 0.000 0.249
Sc2 Sc 0.000 0.500 0.000
Sc3 Sc 0.100 0.295 0.248
Sc4 Sc 0.101 0.801 0.000
Sc5 Sc 0.102 0.801 0.500
O1 O 0.000 0.000 0.500
O2 O 0.000 0.500 0.250
O3 O 0.097 0.301 0.500
O4 O 0.100 0.304 0.000
O5 O 0.100 0.796 0.253
```

---

Entry 6:
# ScO

ScO after structural relaxation (PBE, the Alexandria database).

Results
ΔE_f (raw) in eV per atom: -2.9027
Size of the total moment in μB/atom: 0.00

The structure in CIF format:
```
data_ScO
_chemical_formula_sum 'Sc6 O6'
_symmetry_space_group_name_H-M 'P m m n'
_symmetry_Int_Tables_number 59
_cell_length_a 3.476
_cell_length_b 10.279
_cell_length_c 4.934
_cell_angle_alpha 90.00
_cell_angle_beta 90.00
_cell_angle_gamma 90.00
loop_
_symmetry_equiv_pos_as_xyz
'x,y,z'
'-x,-y,-z'
'-x+1/2,-y+1/2,z'
'x+1/2,y+1/2,-z'
'x+1/2,-y,-z'
'-x+1/2,y,z'
'-x,y+1/2,-z'
'x,-y+1/2,z'
loop_
_atom_site_label
_atom_site_type_symbol
_atom_site_fract_x
_atom_site_fract_y
_atom_site_fract_z
Sc1 Sc 0.250 0.074 0.227
Sc2 Sc 0.250 0.750 0.315
O1 O 0.250 0.250 0.456
O2 O 0.250 0.607 0.009
```

---

Entry 7:
# Sc3O

Sc3O after structural relaxation (PBE, the Alexandria database).

Results
ΔE_f (raw) in eV per atom: -1.1696
Size of the total moment in μB/atom: 0.00

The structure in CIF format:
```
data_Sc3O
_chemical_formula_sum 'Sc6 O2'
_symmetry_space_group_name_H-M 'I m m 2'
_symmetry_Int_Tables_number 44
_symmetry_space_group_name_Hall 'I 2 -2'
_cell_length_a 2.972
_cell_length_b 9.074
_cell_length_c 5.417
_cell_angle_alpha 90.00
_cell_angle_beta 90.00
_cell_angle_gamma 90.00
loop_
_atom_site_label
_atom_site_type_symbol
_atom_site_fract_x
_atom_site_fract_y
_atom_site_fract_z
Sc1 Sc 0.000 0.000 0.000
Sc2 Sc 0.000 0.167 0.490
O1 O 0.000 0.500 0.800
```

---

Entry 8:
# ScO

ScO after structural relaxation (PBE, the Alexandria database).

Results
ΔE_f (raw) in eV per atom: -2.7607
Size of the total moment in μB/atom: 0.00

The structure in CIF format:
```
data_ScO
_chemical_formula_sum 'Sc8 O8'
_symmetry_space_group_name_H-M 'P 21 21 21'
_symmetry_Int_Tables_number 19
_symmetry_space_group_name_Hall 'P 2ac 2ab'
_cell_length_a 6.233
_cell_length_b 6.249
_cell_length_c 6.325
_cell_angle_alpha 90.00
_cell_angle_beta 90.00
_cell_angle_gamma 90.00
loop_
_atom_site_label
_atom_site_type_symbol
_atom_site_fract_x
_atom_site_fract_y
_atom_site_fract_z
Sc1 Sc 0.138 0.118 0.105
Sc2 Sc 0.164 0.358 0.667
O1 O 0.120 0.025 0.772
O2 O 0.207 0.625 0.472
```